# BaSr2Ga

Crystalline BaSr2Ga at its relaxed geometry (GGA-PBE, Alexandria).

POSCAR file:
```
BaSr2Ga
1.0
5.645 0.000 0.000
0.000 13.821 0.000
0.000 0.000 8.977
Ba Sr Ga
4 8 4
direct
0.000 0.048 0.250
0.000 0.952 0.750
0.500 0.452 0.750
0.500 0.548 0.250
0.000 0.341 0.041
0.000 0.341 0.459
0.000 0.659 0.541
0.000 0.659 0.959
0.500 0.159 0.541
0.500 0.159 0.959
0.500 0.841 0.041
0.500 0.841 0.459
0.000 0.198 0.750
0.000 0.802 0.250
0.500 0.302 0.250
0.500 0.698 0.750
```

Computed properties:
space-group type = Cmcm, No. 63
excess energy over the best structure of this formula in the dataset = 4 kJ/mol of formula units
total magnetization = 2.39 μB per cell